# 1
The following is a DFT calculation (GGA-PBE) of an optimized crystal structure of In2CuTe.

Computed properties:
The calculation puts the uncorrected formation energy at 15.6 kJ per mole of atoms.

Cell: 4.2042 4.2042 5.6156 Å, 90.00 90.00 90.00°
Element x y z (fractional)
In 0.0000 0.5000 0.0000
In 0.5000 0.0000 0.0000
Cu 0.0000 0.0000 0.5000
Te 0.5000 0.5000 0.5000

# 2
The following is a DFT calculation (GGA-PBE) of an optimized crystal structure of AlZnCd.

Computed properties:
Its formation energy is 0.10 eV per atom. For the excess energy over the best structure of this formula in the dataset, the calculation gives 25 meV/atom.

Cell: 2.9542 2.9542 12.6054 Å, 90.00 90.00 90.00°
Element x y z (fractional)
Al 0.0000 0.0000 0.0000
Al 0.5000 0.5000 0.5000
Zn 0.0000 0.0000 0.6465
Zn 0.5000 0.5000 0.1465
Cd 0.0000 0.0000 0.3186
Cd 0.5000 0.5000 0.8186

# 3
The following is a DFT calculation (GGA-PBE) of an optimized crystal structure of Y4Bi2Ir.

Computed properties:
Its formation energy is -0.68 eV per atom.

Cell: 6.7492 7.0037 8.6911 Å, 77.36 88.33 85.63°
Element x y z (fractional)
Y 0.0047 0.3612 0.3189
Y 0.2619 0.1983 0.9193
Y 0.2982 0.8041 0.3388
Y 0.4904 0.3324 0.2754
Y 0.5096 0.6676 0.7246
Y 0.7018 0.1959 0.6612
Y 0.7381 0.8017 0.0807
Y 0.9953 0.6388 0.6811
Bi 0.2181 0.6744 0.0221
Bi 0.2212 0.0495 0.6078
Bi 0.7788 0.9505 0.3922
Bi 0.7819 0.3256 0.9779
Ir 0.3064 0.4404 0.5698
Ir 0.6936 0.5596 0.4302

# 4
The following is a DFT calculation (GGA-PBE) of an optimized crystal structure of ReSbSN2.

Computed properties:
The calculation puts the uncorrected formation energy at 52.3 kJ per mole of atoms.

Cell: 3.9159 3.9159 5.0240 Å, 90.00 90.00 90.00°
Element x y z (fractional)
Re 0.0000 0.0000 0.0000
Sb 0.5000 0.5000 0.5000
S 0.0000 0.0000 0.5000
N 0.0000 0.5000 0.0000
N 0.5000 0.0000 0.0000

# 5
The following is a DFT calculation (GGA-PBE) of an optimized crystal structure of BaGeO2.

Computed properties:
The calculation puts the uncorrected formation energy at -145.6 kJ per mole of atoms.

Cell: 5.4129 5.4129 11.6003 Å, 90.00 90.00 90.00°
Element x y z (fractional)
Ba 0.0000 0.0000 0.0000
Ba 0.0000 0.5000 0.2500
Ba 0.5000 0.0000 0.7500
Ba 0.5000 0.5000 0.5000
Ge 0.0000 0.0000 0.5000
Ge 0.0000 0.5000 0.7500
Ge 0.5000 0.0000 0.2500
Ge 0.5000 0.5000 0.0000
O 0.1868 0.2500 0.6250
O 0.2500 0.6868 0.8750
O 0.2500 0.8132 0.3750
O 0.3132 0.2500 0.1250
O 0.6868 0.7500 0.1250
O 0.7500 0.1868 0.3750
O 0.7500 0.3132 0.8750
O 0.8132 0.7500 0.6250

# 6
The following is a DFT calculation (GGA-PBE) of an optimized crystal structure of K3Br5.

Computed properties:
The calculation puts the uncorrected formation energy at -122.9 kJ per mole of atoms.

Cell: 8.9323 9.1050 9.1991 Å, 92.35 102.01 111.40°
Element x y z (fractional)
K 0.0000 0.0000 0.0000
K 0.0312 0.4303 0.2612
K 0.0637 0.4221 0.7570
K 0.4607 0.1116 0.6297
K 0.5004 0.1172 0.1312
K 0.5770 0.5477 0.4053
Br 0.0702 0.7820 0.5856
Br 0.1847 0.7254 0.0558
Br 0.2579 0.2158 0.3205
Br 0.2908 0.2259 0.8599
Br 0.3167 0.6917 0.5583
Br 0.4757 0.7048 0.0826
Br 0.7496 0.6711 0.1110
Br 0.7567 0.2963 0.4546
Br 0.7882 0.2183 0.9432
Br 0.8432 0.8701 0.6217

# 7
The following is a DFT calculation (GGA-PBE) of an optimized crystal structure of K3U2VSe6.

Computed properties:
The calculation puts the uncorrected formation energy at -109.5 kJ per mole of atoms.

Cell: 7.1077 7.1077 8.0864 Å, 98.45 98.45 120.02°
Element x y z (fractional)
K 0.0000 0.0000 0.0000
K 0.3304 0.6696 0.0000
K 0.6696 0.3304 0.0000
U 0.1663 0.8337 0.5000
U 0.8337 0.1663 0.5000
V 0.5000 0.5000 0.5000
Se 0.1171 0.4331 0.2992
Se 0.2518 0.2518 0.7017
Se 0.4331 0.1171 0.2992
Se 0.5669 0.8829 0.7008
Se 0.7482 0.7482 0.2983
Se 0.8829 0.5669 0.7008

# 8
The following is a DFT calculation (GGA-PBE) of an optimized crystal structure of MnCoCuGe.

Computed properties:
Its formation energy is -0.02 eV per atom.

Cell: 5.8336 5.8336 5.8336 Å, 90.00 90.00 90.00°
Element x y z (fractional)
Mn 0.0000 0.0000 0.0000
Mn 0.0000 0.5000 0.5000
Mn 0.5000 0.0000 0.5000
Mn 0.5000 0.5000 0.0000
Co 0.2500 0.2500 0.2500
Co 0.2500 0.7500 0.7500
Co 0.7500 0.2500 0.7500
Co 0.7500 0.7500 0.2500
Cu 0.2500 0.2500 0.7500
Cu 0.2500 0.7500 0.2500
Cu 0.7500 0.2500 0.2500
Cu 0.7500 0.7500 0.7500
Ge 0.0000 0.0000 0.5000
Ge 0.0000 0.5000 0.0000
Ge 0.5000 0.0000 0.0000
Ge 0.5000 0.5000 0.5000

# 9
The following is a DFT calculation (GGA-PBE) of an optimized crystal structure of NdBiPd.

Computed properties:
Its formation energy is -0.94 eV per atom.

Cell: 6.8632 6.8632 6.8632 Å, 90.00 90.00 90.00°
Element x y z (fractional)
Nd 0.0000 0.0000 0.0000
Nd 0.0000 0.5000 0.5000
Nd 0.5000 0.0000 0.5000
Nd 0.5000 0.5000 0.0000
Bi 0.0000 0.0000 0.5000
Bi 0.0000 0.5000 0.0000
Bi 0.5000 0.0000 0.0000
Bi 0.5000 0.5000 0.5000
Pd 0.2500 0.2500 0.7500
Pd 0.2500 0.7500 0.2500
Pd 0.7500 0.2500 0.2500
Pd 0.7500 0.7500 0.7500